Entry from Alexandria via LeMat-Bulk: a geometry-optimized La2CdP2 structure (PBE-GGA).

Cell: 7.9073 7.9073 3.9338 Å, 90.00 90.00 90.00°
Last column: nearest neighbours and their distance in Å.
Element x y z (fractional)
La  0.1529  0.3471  0.0000  6 P 2.91-3.13
La  0.3471  0.8471  0.0000  6 P 2.91-3.13
La  0.6529  0.1529  0.0000  6 P 2.91-3.13
La  0.8471  0.6529  0.0000  6 P 2.91-3.13
Cd  0.0000  0.0000  0.5000  4 P 2.99
Cd  0.5000  0.5000  0.5000  4 P 2.99
P  0.1558  0.6558  0.5000  6 La 2.91-3.13, 2 Cd 2.99
P  0.3442  0.1558  0.5000  6 La 2.91-3.13, 2 Cd 2.99
P  0.6558  0.8442  0.5000  6 La 2.91-3.13, 2 Cd 2.99
P  0.8442  0.3442  0.5000  6 La 2.91-3.13, 2 Cd 2.99

## Properties
Total moment ... 0.000 μB/cell
Theoretical density ... 6105 kg/m³
Final energy ... -5.41 eV per atom
Crystal system ... tetragonal